VASP calculation (PBEsol) on a relaxed structure of POs.

extended XYZ file:
```
4
Lattice="-1.574 -2.381 -0.400 0.631 0.878 2.672 -6.427 4.226 0.128" Properties=species:S:1:pos:R:3 pbc="T T T"
P -4.205 2.488 1.729
Os -6.339 2.321 0.733
Os -1.031 0.401 1.666
P -3.165 0.235 0.670
```

Results
DOS at the Fermi energy in states/eV/cell: 2.1
SG: P-3m1 (164)
Formation energy from the elements in eV/atom: 0.04

VASP calculation (PBEsol) on a relaxed structure of Rb2TlHgF6.

extended XYZ file:
```
10
Lattice="6.486 0.000 0.000 3.243 5.617 0.000 3.243 1.872 5.296" Properties=species:S:1:pos:R:3 pbc="T T T"
F 8.104 4.679 1.327
F 6.486 1.876 1.327
Rb 3.243 1.872 1.324
F 4.868 2.810 3.969
F 4.868 4.679 1.327
Tl 0.000 0.000 0.000
Rb 9.729 5.617 3.972
Hg 6.486 3.745 2.648
F 8.104 2.810 3.969
F 6.486 5.613 3.969
```

Results
DOS at the Fermi energy in states/eV/cell: 1.3
Formation energy without anion corrections in eV/atom: -2.062
SG: Fm-3m (225)

VASP calculation (PBEsol) on a relaxed structure of Sc2FeW.

extended XYZ file:
```
4
Lattice="-0.330 3.054 2.535 -3.656 0.756 -1.386 0.345 -4.511 2.351" Properties=species:S:1:pos:R:3 pbc="T T T"
Sc 0.000 0.000 0.000
Fe -2.652 -0.925 0.769
W -1.993 1.905 0.574
Sc -0.989 0.224 2.730
```

Results
DOS at the Fermi energy in states/eV/cell: 5.2
Energy above the most stable polymorph in this dataset in eV per atom: 0.1611
SG: I-4m2 (119)
Formation energy from the elements in eV/atom: 0.41

VASP calculation (PBEsol) on a relaxed structure of ZnPt2W.

extended XYZ file:
```
4
Lattice="-0.769 2.324 -1.237 -2.940 -0.682 3.587 3.466 2.413 2.381" Properties=species:S:1:pos:R:3 pbc="T T T"
W 1.733 1.207 1.190
Zn -0.384 1.162 -0.618
Pt 0.540 3.203 2.643
Pt -0.783 0.852 2.088
```

Results
DOS at the Fermi energy in states/eV/cell: 2.3
SG: C2/m (12)
Formation energy from the elements in eV/atom: -0.13

VASP calculation (PBEsol) on a relaxed structure of Ca2B8O15.

extended XYZ file:
```
50
Lattice="6.447 -0.003 0.015 -1.615 9.294 0.199 -0.067 -4.494 8.731" Properties=species:S:1:pos:R:3 pbc="T T T"
B 0.801 3.557 1.498
B 1.575 5.253 5.159
B 0.819 0.153 4.213
B 0.074 -2.057 7.179
O 2.130 4.007 1.486
O 2.080 -0.150 4.683
B 5.001 4.394 2.440
O 1.911 5.386 6.569
O 0.992 6.569 4.645
O 3.634 7.703 1.387
O 2.635 0.789 7.459
O -0.482 7.297 1.943
O 0.506 2.309 1.029
O 1.346 0.085 0.598
B 3.190 -0.456 3.786
O 2.854 -0.589 2.376
Ca 2.963 -1.473 6.560
O 3.419 4.712 8.347
B 3.965 1.239 7.446
B 3.264 3.325 8.659
O 2.686 4.947 4.262
O -0.033 4.479 2.024
B 4.691 6.853 1.766
B 3.294 5.342 7.054
O 4.260 2.487 7.916
O 5.248 -2.500 7.002
O 4.798 0.317 6.921
O 4.203 4.696 6.089
O 1.131 -2.907 7.557
Ca -0.341 3.968 7.331
O 4.278 5.575 1.966
B 1.472 -0.545 1.890
B 3.947 4.644 4.732
O 0.540 4.284 5.254
O -0.182 0.511 5.062
Ca 1.802 6.269 2.385
O 3.774 -1.773 4.300
O 4.947 4.286 3.883
O 0.488 -0.779 6.978
B 1.618 1.713 7.670
O 0.370 1.591 7.164
O 4.225 0.513 3.690
B 3.148 3.084 1.275
B 1.501 1.471 0.286
O 4.395 3.206 1.781
B -0.235 0.402 6.505
O 0.562 0.101 2.856
Ca 5.107 0.828 1.614
O 2.885 1.960 0.528
O 1.880 2.836 8.417
```

Results
Formation energy without anion corrections in eV/atom: -2.473
SG: P-1 (2)

VASP calculation (PBEsol) on a relaxed structure of CdInAs2.

extended XYZ file:
```
4
Lattice="3.947 0.000 0.000 0.000 4.613 0.000 0.000 0.000 4.613" Properties=species:S:1:pos:R:3 pbc="T T T"
Cd 1.974 2.306 2.306
As 0.000 0.000 2.306
As 0.000 2.306 0.000
In 1.974 0.000 0.000
```

Results
DOS at the Fermi energy in states/eV/cell: 2.3
SG: P4/mmm (123)
Formation energy from the elements in eV/atom: 0.22

V in Å³ per cell, matching the order above: 55.3, 192.9, 67.4, 58.9, 529.0, 84.0